# 1
# PBE Tm4NiCl5, optimized geometry
# Formation energy from raw total energies ... -1.585 eV/atom
# Magnetic moment ... 0.00 μB per formula unit
data_Tm4NiCl5
_chemical_formula_sum 'Tm8 Ni2 Cl10'
_symmetry_space_group_name_H-M 'C 1 2/m 1'
_symmetry_Int_Tables_number 12
_symmetry_space_group_name_Hall '-C 2y'
_cell_length_a 17.928
_cell_length_b 3.794
_cell_length_c 8.054
_cell_angle_alpha 90.00
_cell_angle_beta 101.58
_cell_angle_gamma 90.00
loop_
_atom_site_label
_atom_site_type_symbol
_atom_site_fract_x
_atom_site_fract_y
_atom_site_fract_z
_atom_site_occupancy
Tm1 Tm 0.003 0.000 0.220 1
Tm2 Tm 0.147 0.500 0.072 1
Ni1 Ni 0.000 0.500 0.000 1
Cl1 Cl 0.000 0.500 0.500 1
Cl2 Cl 0.168 0.000 0.318 1
Cl3 Cl 0.183 0.000 0.853 1

# 2
# PBE VNi3Cl9, optimized geometry
# Formation energy from raw total energies ... -0.638 eV/atom
# Magnetic moment ... 6.58 μB per formula unit
data_VNi3Cl9
_chemical_formula_sum 'V4 Ni12 Cl36'
_symmetry_space_group_name_H-M 'C 1 c 1'
_symmetry_Int_Tables_number 9
_symmetry_space_group_name_Hall 'C -2yc'
_cell_length_a 16.719
_cell_length_b 8.513
_cell_length_c 11.853
_cell_angle_alpha 90.00
_cell_angle_beta 129.64
_cell_angle_gamma 90.00
loop_
_atom_site_label
_atom_site_type_symbol
_atom_site_fract_x
_atom_site_fract_y
_atom_site_fract_z
_atom_site_occupancy
V1 V 0.000 0.209 0.000 1
Ni1 Ni 0.143 0.128 0.846 1
Ni2 Ni 0.232 0.435 0.712 1
Ni3 Ni 0.381 0.060 0.681 1
Cl1 Cl 0.001 0.081 0.824 1
Cl2 Cl 0.002 0.311 0.191 1
Cl3 Cl 0.115 0.348 0.726 1
Cl4 Cl 0.130 0.042 0.186 1
Cl5 Cl 0.147 0.357 0.059 1
Cl6 Cl 0.268 0.253 0.618 1
Cl7 Cl 0.316 0.130 0.015 1
Cl8 Cl 0.366 0.462 0.434 1
Cl9 Cl 0.395 0.085 0.356 1

# 3
# PBE YVNi2Cl, optimized geometry
# Formation energy from raw total energies ... 0.468 eV/atom
# Magnetic moment ... 0.86 μB per formula unit
data_YVNi2Cl
_chemical_formula_sum 'Y1 V1 Ni2 Cl1'
_symmetry_space_group_name_H-M 'P 4/m m m'
_symmetry_Int_Tables_number 123
_symmetry_space_group_name_Hall '-P 4 2'
_cell_length_a 4.254
_cell_length_b 4.254
_cell_length_c 5.777
_cell_angle_alpha 90.00
_cell_angle_beta 90.00
_cell_angle_gamma 90.00
loop_
_atom_site_label
_atom_site_type_symbol
_atom_site_fract_x
_atom_site_fract_y
_atom_site_fract_z
_atom_site_occupancy
Y1 Y 0.000 0.000 0.000 1
V1 V 0.000 0.000 0.500 1
Ni1 Ni 0.000 0.500 0.500 1
Cl1 Cl 0.500 0.500 0.000 1

# 4
# PBE NiWCl2, optimized geometry
# Formation energy from raw total energies ... 0.898 eV/atom
# Magnetic moment ... 0.00 μB per formula unit
# E above lowest polymorph ... 1.052 eV per atom
data_NiWCl2
_chemical_formula_sum 'Ni2 W2 Cl4'
_symmetry_space_group_name_H-M 'I 4/m m m'
_symmetry_Int_Tables_number 139
_symmetry_space_group_name_Hall '-I 4 2'
_cell_length_a 4.014
_cell_length_b 4.014
_cell_length_c 7.151
_cell_angle_alpha 90.00
_cell_angle_beta 90.00
_cell_angle_gamma 90.00
loop_
_atom_site_label
_atom_site_type_symbol
_atom_site_fract_x
_atom_site_fract_y
_atom_site_fract_z
_atom_site_occupancy
Ni1 Ni 0.000 0.000 0.000 1
W1 W 0.000 0.000 0.500 1
Cl1 Cl 0.000 0.500 0.250 1